## TlAuCl (PBE-GGA)

Data for a geometry-optimized TlAuCl structure.

```
TlAuCl
1.0
-0.227 -4.075 -1.049
2.732 1.268 2.947
-3.637 -0.749 3.693
Tl Cl Au
1 1 1
direct
0.333 0.667 0.713
0.667 0.333 0.297
0.000 0.000 0.990
```

calculated volume	81	Å³/cell
energy above the most stable polymorph in this dataset	0.00	kcal/mol of atoms
DFT total energy	-8.12	eV per cell
ΔE_f (raw)	-209	meV/atom

## HoCo4P4 (PBE-GGA)

Data for a geometry-optimized HoCo4P4 structure.

```
HoCo4P4
1.0
5.666 0.000 0.000
0.000 5.666 0.000
0.000 0.000 7.269
Co P Ho
8 8 2
direct
0.276 0.000 0.620
0.500 0.224 0.120
0.500 0.776 0.120
0.224 0.500 0.880
0.000 0.276 0.380
0.776 0.500 0.880
0.724 0.000 0.620
0.000 0.724 0.380
0.000 0.283 0.681
0.500 0.217 0.819
0.717 0.000 0.319
0.283 0.000 0.319
0.783 0.500 0.181
0.500 0.783 0.819
0.000 0.717 0.681
0.217 0.500 0.181
0.000 0.000 0.000
0.500 0.500 0.500
```

calculated formation energy	-0.627	eV/atom
calculated volume	233	Å³/cell
DFT total energy	-120.56	eV per cell

## RbCdTcSn2 (PBE-GGA)

Data for a geometry-optimized RbCdTcSn2 structure.

```
RbCdTcSn2
1.0
-1.176 5.486 0.355
-2.272 -0.155 -5.140
-4.841 -1.178 2.175
Sn Tc Cd Rb
2 1 1 1
direct
0.500 0.000 0.000
0.000 0.500 0.000
0.000 0.000 0.500
0.000 0.000 0.000
0.500 0.500 0.500
```

calculated formation energy	0.951	eV/atom
calculated volume	172	Å³/cell
energy above the most stable polymorph in this dataset	22.12	kcal/mol of atoms
DFT total energy	-15.50	eV per cell

## Sr2GeSbAs (PBE-GGA)

Data for a geometry-optimized Sr2GeSbAs structure.

```
Sr2GeSbAs
1.0
4.935 0.000 0.000
0.000 7.059 0.294
0.000 -2.699 9.116
As Sr Ge Sb
2 4 2 2
direct
0.250 0.851 0.798
0.750 0.149 0.202
0.750 0.749 0.994
0.750 0.782 0.588
0.250 0.218 0.412
0.250 0.251 0.006
0.750 0.503 0.240
0.250 0.497 0.760
0.250 0.675 0.301
0.750 0.325 0.699
```

calculated volume	322	Å³/cell
DFT total energy	-40.90	eV per cell
ΔE_f (raw)	-740	meV/atom

## DyPu2C (PBE-GGA)

Data for a geometry-optimized DyPu2C structure.

```
DyPu2C
1.0
-2.188 -2.952 -1.447
-0.726 -3.189 2.214
-6.037 0.632 2.453
C Pu Dy
1 2 1
direct
0.000 0.000 0.000
0.310 0.310 0.071
0.690 0.690 0.929
0.500 0.500 0.500
```

calculated formation energy	0.341	eV/atom
calculated volume	83	Å³/cell
energy above the most stable polymorph in this dataset	2.56	kcal/mol of atoms
DFT total energy	-41.13	eV per cell

## ScCd2Rh (PBE-GGA)

Data for a geometry-optimized ScCd2Rh structure.

```
ScCd2Rh
1.0
4.129 0.000 0.000
0.000 3.887 0.000
0.000 0.000 4.714
Sc Cd Rh
1 2 1
direct
0.000 0.500 0.500
0.000 0.000 0.000
0.500 0.500 0.000
0.500 0.000 0.500
```

calculated formation energy	-0.347	eV/atom
calculated volume	76	Å³/cell
DFT total energy	-16.90	eV per cell

## CsK5I7 (PBE-GGA)

Data for a geometry-optimized CsK5I7 structure.

```
CsK5I7
1.0
-2.078 2.632 -3.970
0.501 -8.709 -2.634
-26.187 -4.670 10.611
I K Cs
14 10 2
direct
0.900 0.800 0.394
0.160 0.320 0.193
0.637 0.273 0.460
0.841 0.682 0.692
0.901 0.801 0.106
0.364 0.728 0.959
0.159 0.319 0.308
0.101 0.201 0.607
0.101 0.201 0.893
0.450 0.900 0.250
0.841 0.681 0.807
0.364 0.727 0.540
0.637 0.274 0.040
0.550 0.100 0.750
0.472 0.945 0.855
0.528 0.057 0.145
0.728 0.455 0.927
0.727 0.455 0.573
0.472 0.945 0.645
0.273 0.546 0.427
0.001 0.001 0.000
0.000 0.000 0.500
0.274 0.547 0.073
0.528 0.056 0.355
0.804 0.607 0.251
0.196 0.393 0.749
```

calculated volume	1300	Å³/cell
DFT total energy	-68.45	eV per cell
ΔE_f (raw)	-1310	meV/atom

## Tm5In6 (PBE-GGA)

Data for a geometry-optimized Tm5In6 structure.

```
Tm5In6
1.0
4.969 0.005 -1.538
-0.839 6.700 -2.687
0.059 -0.330 8.985
In Tm
6 5
direct
0.156 0.386 0.312
0.844 0.614 0.688
0.500 0.787 0.000
0.500 0.213 0.000
0.844 0.074 0.688
0.156 0.926 0.312
0.322 0.822 0.644
0.000 0.500 0.000
0.341 0.341 0.682
0.678 0.178 0.356
0.659 0.659 0.318
```

calculated formation energy	-0.357	eV/atom
calculated volume	295	Å³/cell
DFT total energy	-42.71	eV per cell

## SmMnAl3 (PBE-GGA)

Data for a geometry-optimized SmMnAl3 structure.

```
SmMnAl3
1.0
-0.256 2.984 -3.457
-4.411 -1.060 -0.589
-1.185 3.301 2.937
Al Sm Mn
3 1 1
direct
0.000 0.000 0.500
0.500 0.000 0.000
0.000 0.500 0.000
0.500 0.500 0.500
0.000 0.000 0.000
```

calculated formation energy	-0.281	eV/atom
calculated volume	96	Å³/cell
DFT total energy	-26.52	eV per cell

## HgAsBr2 (PBE-GGA)

Data for a geometry-optimized HgAsBr2 structure.

```
HgAsBr2
1.0
-2.132 2.092 1.844
-2.709 -2.104 -0.746
1.647 -4.678 7.211
Br As Hg
2 1 1
direct
0.000 0.000 0.927
0.500 0.500 0.322
0.500 0.500 0.731
0.000 0.000 0.521
```

calculated volume	108	Å³/cell
energy above the most stable polymorph in this dataset	7.27	kcal/mol of atoms
DFT total energy	-7.54	eV per cell
ΔE_f (raw)	190	meV/atom

## EuCuBi (PBE-GGA)

Data for a geometry-optimized EuCuBi structure.

```
EuCuBi
1.0
-3.395 0.986 0.893
-0.943 -0.054 -3.522
0.676 -6.046 1.800
Bi Eu Cu
1 1 1
direct
0.924 0.924 0.848
0.632 0.632 0.265
0.294 0.294 0.588
```

calculated formation energy	-0.179	eV/atom
calculated volume	77	Å³/cell
DFT total energy	-18.79	eV per cell

## PrEu3 (PBE-GGA)

Data for a geometry-optimized PrEu3 structure.

```
PrEu3
1.0
-2.400 3.441 3.457
0.068 -3.829 3.858
4.877 1.747 1.648
Eu Pr
3 1
direct
0.000 0.500 0.500
0.500 0.000 0.500
0.500 0.500 0.000
0.000 0.000 0.000
```

calculated formation energy	0.074	eV/atom
calculated volume	161	Å³/cell
energy above the most stable polymorph in this dataset	0.36	kcal/mol of atoms
DFT total energy	-35.31	eV per cell

## Na3Pa2RhS6 (PBE-GGA)

Data for a geometry-optimized Na3Pa2RhS6 structure.

```
Na3Pa2RhS6
1.0
6.660 0.000 0.004
-3.329 5.768 0.004
-1.107 -1.916 6.751
S Na Rh Pa
6 3 1 2
direct
0.076 0.409 0.227
0.742 0.742 0.225
0.258 0.258 0.775
0.409 0.076 0.227
0.924 0.591 0.773
0.591 0.924 0.773
0.163 0.837 0.500
0.500 0.500 0.500
0.837 0.163 0.500
0.000 0.000 0.000
0.333 0.667 0.000
0.667 0.333 0.000
```

calculated volume	259	Å³/cell
DFT total energy	-69.87	eV per cell
ΔE_f (raw)	-1234	meV/atom

## Sc2CuB (PBE-GGA)

Data for a geometry-optimized Sc2CuB structure.

```
Sc2CuB
1.0
-0.235 -1.388 -2.798
4.350 -0.738 0.001
-0.660 -3.886 1.984
Sc Cu B
2 1 1
direct
0.000 0.000 0.500
0.000 0.500 0.000
0.500 0.000 0.000
0.500 0.500 0.500
```

calculated formation energy	-0.080	eV/atom
calculated volume	61	Å³/cell
DFT total energy	-23.76	eV per cell

## Ni3WAu (PBE-GGA)

Data for a geometry-optimized Ni3WAu structure.

```
Ni3WAu
1.0
4.494 0.000 0.000
0.000 4.494 0.000
0.000 0.000 4.494
Au W Ni
1 1 3
direct
0.500 0.500 0.500
0.000 0.000 0.000
0.000 0.500 0.000
0.500 0.000 0.000
0.000 0.000 0.500
```

calculated formation energy	1.387	eV/atom
calculated volume	91	Å³/cell
energy above the most stable polymorph in this dataset	0.00	kcal/mol of atoms
DFT total energy	-26.64	eV per cell

## LaTa3Au (PBE-GGA)

Data for a geometry-optimized LaTa3Au structure.

```
LaTa3Au
1.0
4.855 0.000 0.000
0.000 4.855 0.000
0.000 0.000 4.855
Ta La Au
3 1 1
direct
0.500 0.000 0.000
0.000 0.000 0.500
0.000 0.500 0.000
0.000 0.000 0.000
0.500 0.500 0.500
```

calculated formation energy	2.177	eV/atom
calculated volume	114	Å³/cell
energy above the most stable polymorph in this dataset	19.02	kcal/mol of atoms
DFT total energy	-32.88	eV per cell

## Pm2Pr8Tl (PBE-GGA)

Data for a geometry-optimized Pm2Pr8Tl structure.

```
Pm2Pr8Tl
1.0
5.129 0.000 0.000
0.000 8.201 0.487
-2.565 -3.017 8.839
Pr Pm Tl
8 2 1
direct
0.863 0.821 0.725
0.590 0.442 0.180
0.137 0.179 0.275
0.678 0.908 0.355
0.956 0.272 0.912
0.322 0.092 0.645
0.410 0.558 0.820
0.044 0.728 0.088
0.224 0.634 0.448
0.776 0.366 0.552
0.500 0.000 0.000
```

calculated formation energy	-0.044	eV/atom
calculated volume	379	Å³/cell
energy above the most stable polymorph in this dataset	0.00	kcal/mol of atoms
DFT total energy	-50.58	eV per cell

## Mg3ScFe (PBE-GGA)

Data for a geometry-optimized Mg3ScFe structure.

```
Mg3ScFe
1.0
-2.132 -4.255 -0.308
3.155 -1.804 3.087
-2.871 1.176 3.621
Mg Fe Sc
3 1 1
direct
0.000 0.500 0.000
0.500 0.000 0.000
0.000 0.000 0.500
0.000 0.000 0.000
0.500 0.500 0.500
```

calculated formation energy	0.473	eV/atom
calculated volume	108	Å³/cell
energy above the most stable polymorph in this dataset	0.00	kcal/mol of atoms
DFT total energy	-17.21	eV per cell

## Tm2ZrAl (PBE-GGA)

Data for a geometry-optimized Tm2ZrAl structure.

```
Tm2ZrAl
1.0
-0.752 2.044 -4.701
3.403 -0.916 -3.798
-1.313 -3.054 -3.973
Tm Al Zr
2 1 1
direct
0.750 0.750 0.750
0.250 0.250 0.250
0.000 0.000 0.000
0.500 0.500 0.500
```

calculated formation energy	-0.019	eV/atom
calculated volume	98	Å³/cell
energy above the most stable polymorph in this dataset	3.69	kcal/mol of atoms
DFT total energy	-21.31	eV per cell

## NdGdAu2 (PBE-GGA)

Data for a geometry-optimized NdGdAu2 structure.

```
NdGdAu2
1.0
3.663 0.000 0.000
0.000 3.663 0.000
0.000 0.000 7.385
Au Nd Gd
2 1 1
direct
0.000 0.000 0.763
0.000 0.000 0.237
0.500 0.500 0.500
0.500 0.500 0.000
```

calculated formation energy	-0.799	eV/atom
calculated volume	99	Å³/cell
energy above the most stable polymorph in this dataset	0.00	kcal/mol of atoms
DFT total energy	-28.60	eV per cell

## Ce4FeAu (PBE-GGA)

Data for a geometry-optimized Ce4FeAu structure.

```
Ce4FeAu
1.0
-1.578 4.392 3.384
-4.317 1.809 -4.361
-4.713 -6.128 2.123
Fe Ce Au
2 8 2
direct
0.583 0.750 0.945
0.417 0.250 0.055
0.762 0.969 0.292
0.244 0.250 0.263
0.762 0.531 0.292
0.152 0.750 0.032
0.756 0.750 0.737
0.238 0.469 0.708
0.848 0.250 0.968
0.238 0.031 0.708
0.314 0.750 0.411
0.686 0.250 0.589
```

calculated formation energy	-0.176	eV/atom
calculated volume	285	Å³/cell
energy above the most stable polymorph in this dataset	0.00	kcal/mol of atoms
DFT total energy	-73.06	eV per cell

## BaSrOs2 (PBE-GGA)

Data for a geometry-optimized BaSrOs2 structure.

```
BaSrOs2
1.0
6.056 -0.010 0.001
4.579 3.963 0.001
4.332 1.610 5.921
Ba Os Sr
1 2 1
direct
0.750 0.750 0.750
0.492 0.492 0.327
0.008 0.008 0.173
0.250 0.250 0.250
```

calculated formation energy	0.517	eV/atom
calculated volume	142	Å³/cell
energy above the most stable polymorph in this dataset	7.49	kcal/mol of atoms
DFT total energy	-24.00	eV per cell

## CsMnTe2 (PBE-GGA)

Data for a geometry-optimized CsMnTe2 structure.

```
CsMnTe2
1.0
9.116 0.000 0.000
0.000 9.116 0.000
4.558 4.558 3.253
Mn Te Cs
2 4 2
direct
0.250 0.250 0.500
0.750 0.750 0.500
0.250 0.250 0.000
0.250 0.750 0.000
0.750 0.750 0.000
0.750 0.250 0.000
0.250 0.750 0.500
0.750 0.250 0.500
```

calculated volume	270	Å³/cell
DFT total energy	-31.65	eV per cell
ΔE_f (raw)	121	meV/atom

## LiReRu2 (PBE-GGA)

Data for a geometry-optimized LiReRu2 structure.

```
LiReRu2
1.0
-0.211 0.441 2.607
-0.302 -2.511 -0.799
9.047 -1.398 0.969
Li Ru Re
1 2 1
direct
0.000 0.000 0.495
0.000 0.000 0.999
0.500 0.500 0.248
0.500 0.500 0.757
```

calculated formation energy	0.359	eV/atom
calculated volume	58	Å³/cell
energy above the most stable polymorph in this dataset	8.03	kcal/mol of atoms
DFT total energy	-31.48	eV per cell

## CaBe2NbZn (PBE-GGA)

Data for a geometry-optimized CaBe2NbZn structure.

```
CaBe2NbZn
1.0
4.290 0.000 0.000
0.000 4.993 0.000
0.000 0.000 4.290
Ca Zn Nb Be
1 1 1 2
direct
0.000 0.500 0.000
0.000 0.000 0.000
0.500 0.500 0.500
0.500 0.000 0.000
0.000 0.000 0.500
```

calculated formation energy	1.014	eV/atom
calculated volume	92	Å³/cell
DFT total energy	-15.73	eV per cell